1.
{
  "formula": "Tb4Pr3Er",
  "functional": "PBE",
  "state": "optimized geometry",
  "cell": [[-4.2144, -4.3560, 1.8425], [5.4691, -4.7452, 1.2911], [0.7754, 3.8579, 10.8942]],
  "species": ["Tb", "Tb", "Tb", "Tb", "Tb", "Tb", "Tb", "Tb", "Er", "Er", "Pr", "Pr", "Pr", "Pr", "Pr", "Pr"],
  "fractional_positions": [[0.9815, 0.1224, 0.2474], [0.4815, 0.8776, 0.2526], [0.6486, 0.1225, 0.5000], [0.4815, 0.8776, 0.7474], [0.9815, 0.1224, 0.7526], [0.1486, 0.8775, 0.0000], [0.6478, 0.1218, 0.0000], [0.1478, 0.8782, 0.5000], [0.1456, 0.3702, 0.0000], [0.6456, 0.6298, 0.5000], [0.6469, 0.6277, 0.0000], [0.9817, 0.6262, 0.7501], [0.4817, 0.3738, 0.2501], [0.1469, 0.3723, 0.5000], [0.9817, 0.6262, 0.2499], [0.4817, 0.3738, 0.7499]],
  "m_tot_mub_per_cell": 0.00,
  "space_group": "No. 31",
  "de_polymorph_ev_per_fu": 0.00,
  "total_energy_ev_per_atom": -4.651,
  "formation_enthalpy_0k_ev_per_atom": 0.03
}

---

2.
{
  "formula": "Pm5Zn4Rh",
  "functional": "PBE",
  "state": "optimized geometry",
  "cell": [[3.6379, 0.0000, 0.0000], [0.0000, 3.6379, 0.0000], [0.0000, 0.0000, 18.1336]],
  "species": ["Rh", "Zn", "Zn", "Zn", "Zn", "Pm", "Pm", "Pm", "Pm", "Pm"],
  "fractional_positions": [[0.0000, 0.0000, 0.0000], [0.0000, 0.0000, 0.8024], [0.0000, 0.0000, 0.3981], [0.0000, 0.0000, 0.6019], [0.0000, 0.0000, 0.1976], [0.5000, 0.5000, 0.2972], [0.5000, 0.5000, 0.0915], [0.5000, 0.5000, 0.7028], [0.5000, 0.5000, 0.9085], [0.5000, 0.5000, 0.5000]],
  "m_tot_mub_per_cell": 0.01,
  "space_group": "No. 123",
  "total_energy_ev_per_atom": -4.013,
  "formation_enthalpy_0k_ev_per_atom": -0.39
}

---

3.
{
  "formula": "LiNdTe",
  "functional": "PBE",
  "state": "optimized geometry",
  "cell": [[4.2003, 0.0000, 0.0000], [0.0000, 4.2003, 0.0000], [-2.1001, -2.1001, 4.5413]],
  "species": ["Nd", "Li", "Te"],
  "fractional_positions": [[0.9499, 0.9499, 0.8997], [0.6004, 0.6004, 0.2007], [0.2998, 0.2998, 0.5996]],
  "m_tot_mub_per_cell": 0.00,
  "formation_energy_uncorrected_mev_per_atom": -659,
  "space_group": "No. 107",
  "de_polymorph_ev_per_fu": 0.98,
  "total_energy_ev_per_atom": -3.934
}

---

4.
{
  "formula": "K12Na3I5",
  "functional": "PBE",
  "state": "optimized geometry",
  "cell": [[18.9580, 0.0000, 0.0000], [-6.3193, 17.8738, 0.0000], [-6.3193, -8.9369, 15.4792]],
  "species": ["K", "K", "K", "K", "K", "K", "K", "K", "K", "K", "K", "K", "K", "K", "K", "K", "K", "K", "K", "K", "K", "K", "K", "K", "K", "K", "K", "K", "K", "K", "K", "K", "K", "K", "K", "K", "K", "K", "K", "K", "K", "K", "K", "K", "K", "K", "K", "K", "Na", "Na", "Na", "Na", "Na", "Na", "Na", "Na", "Na", "Na", "Na", "Na", "I", "I", "I", "I", "I", "I", "I", "I", "I", "I", "I", "I", "I", "I", "I", "I", "I", "I", "I", "I"],
  "fractional_positions": [[0.0866, 0.9144, 0.1283], [0.6722, 0.2139, 0.5856], [0.0856, 0.9134, 0.3717], [0.9583, 0.3717, 0.2861], [0.0856, 0.1722, 0.2139], [0.8717, 0.5856, 0.9134], [0.7861, 0.4583, 0.3717], [0.7139, 0.1283, 0.0417], [0.9134, 0.0856, 0.8717], [0.5856, 0.7139, 0.6722], [0.2861, 0.8717, 0.9583], [0.8278, 0.9144, 0.2861], [0.1722, 0.0856, 0.7139], [0.3278, 0.5417, 0.4134], [0.3717, 0.9583, 0.7861], [0.5866, 0.6283, 0.4144], [0.4583, 0.6722, 0.0866], [0.0417, 0.4134, 0.8278], [0.9144, 0.8278, 0.7861], [0.6283, 0.5866, 0.9144], [0.4144, 0.1283, 0.5866], [0.2861, 0.4144, 0.8278], [0.3278, 0.7861, 0.4144], [0.2139, 0.5417, 0.6283], [0.6283, 0.0417, 0.2139], [0.1283, 0.7139, 0.5417], [0.5417, 0.2139, 0.1283], [0.6722, 0.4583, 0.5866], [0.5417, 0.3278, 0.9134], [0.8278, 0.9134, 0.0417], [0.1722, 0.0866, 0.9583], [0.0866, 0.1722, 0.4583], [0.4134, 0.0417, 0.3278], [0.9583, 0.5866, 0.1722], [0.7861, 0.3278, 0.9144], [0.1283, 0.4144, 0.0866], [0.9134, 0.8278, 0.5417], [0.2139, 0.6722, 0.0856], [0.4583, 0.7861, 0.8717], [0.5866, 0.9583, 0.6722], [0.8717, 0.2861, 0.4583], [0.5856, 0.8717, 0.4134], [0.3717, 0.4134, 0.0856], [0.9144, 0.0866, 0.6283], [0.0417, 0.6283, 0.7139], [0.4134, 0.3717, 0.5856], [0.4144, 0.2861, 0.3278], [0.7139, 0.5856, 0.1722], [0.6250, 0.3750, 0.7500], [0.1250, 0.8750, 0.7500], [0.7500, 0.3750, 0.1250], [0.3750, 0.6250, 0.2500], [0.2500, 0.1250, 0.3750], [0.8750, 0.7500, 0.1250], [0.6250, 0.2500, 0.3750], [0.7500, 0.8750, 0.6250], [0.8750, 0.1250, 0.2500], [0.3750, 0.7500, 0.6250], [0.2500, 0.6250, 0.8750], [0.1250, 0.2500, 0.8750], [0.8750, 0.6250, 0.7500], [0.3750, 0.1250, 0.7500], [0.5000, 0.0000, 0.0000], [0.3750, 0.2500, 0.1250], [0.0000, 0.0000, 0.0000], [0.5000, 0.5000, 0.0000], [0.2500, 0.8750, 0.1250], [0.5000, 0.5000, 0.5000], [0.1250, 0.7500, 0.3750], [0.1250, 0.3750, 0.2500], [0.0000, 0.5000, 0.0000], [0.7500, 0.1250, 0.8750], [0.7500, 0.6250, 0.3750], [0.8750, 0.2500, 0.6250], [0.6250, 0.8750, 0.2500], [0.0000, 0.0000, 0.5000], [0.5000, 0.0000, 0.5000], [0.6250, 0.7500, 0.8750], [0.2500, 0.3750, 0.6250], [0.0000, 0.5000, 0.5000]],
  "m_tot_mub_per_cell": 0.00,
  "formation_energy_uncorrected_mev_per_atom": -608,
  "space_group": "No. 230",
  "total_energy_ev_per_atom": -1.852
}